Rb2PuGeO6, optimized geometry, DFT PBE; total moment = 2.0 μB per formula unit; raw formation energy = -1.96 eV/atom
1.0
-2.865 2.865 4.820
2.865 -2.865 4.820
2.865 2.865 -4.820
Rb Pu Ge O
2 1 1 6
direct
0.250 0.750 0.500
0.750 0.250 0.500
0.000 0.000 0.000
0.500 0.500 0.000
0.194 0.194 0.000
0.274 0.274 0.548
0.274 0.726 0.000
0.726 0.274 0.000
0.726 0.726 0.452
0.806 0.806 0.000